1.
Density functional theory data (PBE) for a relaxed structure of Pr3Dy4Se8.

Space group: C2/m (12)
N(E_F) in states/eV/cell: 6.70
VASP energy in eV/atom: -5.88
Formation energy without anion corrections in meV per atom: -1839
Total magnetization in μB/atom: 0.000

abc: 8.2834 8.3106 8.3106
angles: 90.04 119.84 119.84
Closest atoms and distances in Å follow each position.
Positions (direct):
Se 0.0104 0.7559 0.7559  4 Dy 2.88-2.94, 1 Pr 3.00
Dy 0.0000 0.5000 0.0000  6 Se 2.94
Se 0.5000 0.7554 0.2446  3 Dy 2.88-2.94, 3 Pr 2.94-3.00
Dy 0.0000 0.0000 0.0000  6 Se 2.92-2.93
Se 0.5040 0.7574 0.7574  2 Dy 2.87-2.92, 3 Pr 2.94-3.00
Se 0.4960 0.2426 0.2426  2 Dy 2.87-2.92, 3 Pr 2.94-3.00
Se 0.5000 0.2446 0.7554  3 Dy 2.88-2.94, 3 Pr 2.94-3.00
Pr 0.5000 0.5000 0.5000  6 Se 3.00
Dy 0.0000 0.0000 0.5000  6 Se 2.94
Pr 0.5000 0.0000 0.5000  6 Se 2.94
Se 0.9896 0.2441 0.2441  4 Dy 2.88-2.94, 1 Pr 3.00
Se 0.0000 0.7513 0.2487  3 Dy 2.92-2.94, 2 Pr 2.94
Dy 0.5000 0.0000 0.0000  6 Se 2.87-2.88
Pr 0.5000 0.5000 0.0000  6 Se 2.94
Se 0.0000 0.2487 0.7513  3 Dy 2.92-2.94, 2 Pr 2.94

---

2.
Density functional theory data (PBE) for a relaxed structure of LiPm2Al4Pt3.

Space group: P-4m2 (115)
N(E_F) in states/eV/cell: 7.18
VASP energy in eV/atom: -5.40
E_form in meV/atom: -947
Total magnetization in μB/atom: 0.000

abc: 4.2560 4.2560 10.5896
angles: 90.00 90.00 90.00
Closest atoms and distances in Å follow each position.
Positions (direct):
Al 0.0000 0.0000 0.0000  4 Pt 2.56
Pm 0.5000 0.0000 0.2443  6 Pt 3.23-3.44, 8 Al 3.29-3.35, 2 Li 3.44
Al 0.5000 0.0000 0.6300  3 Pt 2.50-2.53, 2 Li 2.53
Pt 0.5000 0.0000 0.8664  5 Al 2.50-2.56
Pt 0.0000 0.5000 0.1336  5 Al 2.50-2.56
Al 0.0000 0.5000 0.3700  3 Pt 2.50-2.53, 2 Li 2.53
Pm 0.0000 0.5000 0.7557  6 Pt 3.23-3.44, 8 Al 3.29-3.35, 2 Li 3.44
Li 0.5000 0.5000 0.5000  4 Al 2.53
Pt 0.0000 0.0000 0.5000  4 Al 2.53
Al 0.5000 0.5000 0.0000  4 Pt 2.56

---

3.
Density functional theory data (PBE) for a relaxed structure of Tb12PmSm3.

Space group: P4/mmm (123)
N(E_F) in states/eV/cell: 22.01
VASP energy in eV/atom: -4.64
E_form in meV/atom: 16
Total magnetization in μB/atom: 0.000

abc: 5.0612 5.0612 20.2367
angles: 90.00 90.00 90.00
Closest atoms and distances in Å follow each position.
Positions (direct):
Tb 0.5000 0.5000 0.2502  8 Tb 3.58, 4 Sm 3.58
Tb 0.5000 0.0000 0.8748  2 Sm 3.58, 8 Tb 3.58, 2 Pm 3.58
Tb 0.5000 0.0000 0.6250  8 Tb 3.58, 4 Sm 3.58
Sm 0.0000 0.0000 0.5000  12 Tb 3.58
Tb 0.5000 0.5000 0.0000  4 Pm 3.58, 8 Tb 3.58
Sm 0.0000 0.0000 0.7499  12 Tb 3.58
Tb 0.5000 0.0000 0.3750  8 Tb 3.58, 4 Sm 3.58
Tb 0.0000 0.5000 0.8748  2 Sm 3.58, 8 Tb 3.58, 2 Pm 3.58
Sm 0.0000 0.0000 0.2501  12 Tb 3.58
Tb 0.5000 0.5000 0.5000  8 Tb 3.58, 4 Sm 3.58
Tb 0.0000 0.5000 0.3750  8 Tb 3.58, 4 Sm 3.58
Tb 0.5000 0.0000 0.1252  2 Sm 3.58, 8 Tb 3.58, 2 Pm 3.58
Pm 0.0000 0.0000 0.0000  12 Tb 3.58
Tb 0.5000 0.5000 0.7498  8 Tb 3.58, 4 Sm 3.58
Tb 0.0000 0.5000 0.1252  2 Sm 3.58, 8 Tb 3.58, 2 Pm 3.58
Tb 0.0000 0.5000 0.6250  8 Tb 3.58, 4 Sm 3.58